## Ba3YAl (PBE-GGA)

Data for Ba3YAl after structural relaxation.

```
Ba3YAl
1.0
6.4291 0.0000 0.0000
0.0000 6.4291 0.0000
0.0000 0.0000 6.4291
Ba Y Al
3 1 1
direct
0.0000 0.0000 0.5000
0.0000 0.5000 0.0000
0.5000 0.0000 0.0000
0.0000 0.0000 0.0000
0.5000 0.5000 0.5000
```

total energy = -11.85 eV/cell
V = 53.1 A^3/atom
theoretical density = 3.299 Mg/m³
space group = No. 221
magnetization = 0.0 μB/f.u.
energy of formation from the pure elements = 0.825 eV/atom
energy above the most stable polymorph in this dataset = 0.371 eV per atom